{
  "formula": "BaBAsF10",
  "functional": "PBE",
  "state": "relaxed",
  "lattice_angstrom": [[6.399, 0.000, 0.000], [0.000, 10.714, 0.000], [0.000, 0.000, 12.178]],
  "species": ["Ba", "Ba", "Ba", "Ba", "B", "B", "B", "B", "As", "As", "As", "As", "F", "F", "F", "F", "F", "F", "F", "F", "F", "F", "F", "F", "F", "F", "F", "F", "F", "F", "F", "F", "F", "F", "F", "F", "F", "F", "F", "F", "F", "F", "F", "F", "F", "F", "F", "F", "F", "F", "F", "F"],
  "fractional_positions": [[0.750, 0.261, 0.614], [0.750, 0.761, 0.886], [0.250, 0.739, 0.386], [0.250, 0.239, 0.114], [0.750, 0.638, 0.570], [0.750, 0.138, 0.930], [0.250, 0.362, 0.430], [0.250, 0.862, 0.070], [0.250, 0.980, 0.696], [0.250, 0.480, 0.804], [0.750, 0.020, 0.304], [0.750, 0.520, 0.196], [0.570, 0.682, 0.515], [0.930, 0.182, 0.985], [0.070, 0.318, 0.485], [0.430, 0.818, 0.015], [0.430, 0.318, 0.485], [0.070, 0.818, 0.015], [0.930, 0.682, 0.515], [0.570, 0.182, 0.985], [0.750, 0.506, 0.571], [0.750, 0.006, 0.929], [0.250, 0.494, 0.429], [0.250, 0.994, 0.071], [0.750, 0.683, 0.679], [0.750, 0.183, 0.821], [0.250, 0.317, 0.321], [0.250, 0.817, 0.179], [0.250, 0.886, 0.576], [0.250, 0.386, 0.924], [0.750, 0.114, 0.424], [0.750, 0.614, 0.076], [0.447, 0.882, 0.753], [0.053, 0.382, 0.747], [0.947, 0.118, 0.247], [0.553, 0.618, 0.253], [0.553, 0.118, 0.247], [0.947, 0.618, 0.253], [0.053, 0.882, 0.753], [0.447, 0.382, 0.747], [0.250, 0.073, 0.813], [0.250, 0.573, 0.687], [0.750, 0.927, 0.187], [0.750, 0.427, 0.313], [0.053, 0.075, 0.635], [0.447, 0.575, 0.865], [0.553, 0.925, 0.365], [0.947, 0.425, 0.135], [0.947, 0.925, 0.365], [0.553, 0.425, 0.135], [0.447, 0.075, 0.635], [0.053, 0.575, 0.865]],
  "formation_energy_uncorrected_ev_per_atom": -2.8479,
  "sg": "No. 62",
  "total_magnetization_mub_per_cell": 0.5
}